#a
DFT (PBE) results for a geometry-optimized SrCa3Zn8 structure.

**Crystal system**: trigonal
**D(E_F)**: 7.7 states/eV per cell

Structure (extended XYZ):
```
12
Lattice="-0.386 5.689 0.009 -4.582 -3.167 -1.218 -2.185 -0.163 8.641" Properties=species:S:1:pos:R:3 pbc="T T T"
Zn -5.364 -0.377 7.813
Zn -4.321 3.981 5.906
Zn -2.150 -0.149 1.723
Zn -1.840 2.722 6.509
Zn -4.605 1.097 1.126
Zn -4.276 -0.296 3.509
Zn -4.414 -1.713 1.122
Zn -4.128 1.140 5.901
Ca -1.910 2.728 0.096
Ca -2.071 -0.154 8.190
Ca -2.744 2.665 3.392
Sr -1.223 -0.091 4.837
```

---

#b
DFT (PBE) results for a geometry-optimized SrCa3Zn8 structure.

**Crystal system**: trigonal
**D(E_F)**: 8.1 states/eV per cell

Structure (extended XYZ):
```
12
Lattice="5.619 0.000 0.000 2.810 4.866 0.000 2.810 1.622 9.228" Properties=species:S:1:pos:R:3 pbc="T T T"
Ca 5.619 3.244 4.651
Ca 5.619 3.244 8.083
Ca 2.810 1.622 9.198
Zn 8.429 3.234 6.382
Zn 2.810 1.622 4.067
Zn 4.209 2.430 1.688
Zn 8.429 4.866 8.631
Zn 7.015 5.683 6.382
Zn 5.619 4.872 1.688
Zn 7.029 2.430 1.688
Zn 9.843 5.683 6.382
Sr 8.429 4.866 3.453
```

---

Most stable to least stable: #a, #b

---

#a
DFT (PBE) results for a geometry-optimized SrCa2Zr structure.

**Crystal system**: cubic
**D(E_F)**: 6.3 states/eV per cell

Structure (extended XYZ):
```
4
Lattice="-3.742 -2.500 3.809 -4.718 -2.923 -1.990 -0.244 -5.873 0.469" Properties=species:S:1:pos:R:3 pbc="T T T"
Sr -4.353 -5.648 1.144
Zr -6.529 -8.472 1.716
Ca 0.000 0.000 0.000
Ca -2.176 -2.824 0.572
```

---

#b
DFT (PBE) results for a geometry-optimized SrCa2Zr structure.

**Crystal system**: monoclinic
**D(E_F)**: 4.6 states/eV per cell

Structure (extended XYZ):
```
4
Lattice="-5.580 3.185 -0.386 -6.374 -0.133 0.881 -0.278 2.430 6.187" Properties=species:S:1:pos:R:3 pbc="T T T"
Ca -11.821 3.074 0.635
Ca -6.250 2.720 3.201
Zr -3.058 1.371 1.671
Sr -9.174 4.112 5.012
```

---

Most stable to least stable: #b, #a

---

#a
DFT (PBE) results for a geometry-optimized SrCa3Zr structure.

**Crystal system**: cubic
**D(E_F)**: 1.3 states/eV per cell

Structure (extended XYZ):
```
5
Lattice="-1.683 -5.655 -0.003 5.524 -1.645 1.260 -1.208 0.357 5.764" Properties=species:S:1:pos:R:3 pbc="T T T"
Ca -0.842 -2.827 -0.001
Ca 2.762 -0.822 0.630
Ca -0.604 0.178 2.882
Sr 1.317 -3.472 3.510
Zr 0.000 0.000 0.000
```

---

#b
DFT (PBE) results for a geometry-optimized SrCa3Zr structure.

**Crystal system**: cubic
**D(E_F)**: 0.4 states/eV per cell

Structure (extended XYZ):
```
5
Lattice="-0.581 4.812 3.056 -5.362 -1.504 1.348 1.935 -2.723 4.656" Properties=species:S:1:pos:R:3 pbc="T T T"
Ca -2.681 -0.752 0.674
Ca -0.291 2.406 1.528
Ca 0.967 -1.362 2.328
Sr 0.000 0.000 0.000
Zr -2.004 0.292 4.530
```

---

Most stable to least stable: #a, #b

---

#a
DFT (PBE) results for a geometry-optimized SrCaZr structure.

**Crystal system**: trigonal
**D(E_F)**: 4.2 states/eV per cell

Structure (extended XYZ):
```
3
Lattice="-0.714 -2.888 -2.035 1.604 -0.404 3.203 -8.207 -0.795 4.009" Properties=species:S:1:pos:R:3 pbc="T T T"
Ca -7.958 -0.771 3.887
Sr -2.880 -2.345 1.146
Zr -4.688 -1.767 4.153
```

---

#b
DFT (PBE) results for a geometry-optimized SrCaZr structure.

**Crystal system**: triclinic
**D(E_F)**: 9.1 states/eV per cell

Structure (extended XYZ):
```
6
Lattice="10.227 0.185 -0.119 -0.059 3.602 0.302 2.461 1.224 6.004" Properties=species:S:1:pos:R:3 pbc="T T T"
Sr 4.230 2.597 1.654
Sr 7.316 4.203 3.770
Ca 10.203 2.319 5.696
Ca 10.660 2.701 1.752
Zr 4.557 2.204 5.186
Zr 2.397 4.112 4.411
```

---

Most stable to least stable: #b, #a

---

#a
DFT (PBE) results for a geometry-optimized SrCaZr structure.

**Crystal system**: monoclinic
**D(E_F)**: 7.0 states/eV per cell

Structure (extended XYZ):
```
6
Lattice="6.697 -1.034 -0.864 -3.539 5.779 0.864 -4.335 2.885 7.126" Properties=species:S:1:pos:R:3 pbc="T T T"
Ca -6.413 8.197 7.364
Ca 3.294 1.737 1.485
Sr -3.174 6.042 4.685
Sr 0.055 3.892 4.164
Zr -0.180 2.339 0.861
Zr 1.398 4.711 0.862
```

---

#b
DFT (PBE) results for a geometry-optimized SrCaZr structure.

**Crystal system**: orthorhombic
**D(E_F)**: 4.1 states/eV per cell

Structure (extended XYZ):
```
3
Lattice="6.466 0.025 -0.012 3.304 5.558 0.012 -4.271 -3.865 2.937" Properties=species:S:1:pos:R:3 pbc="T T T"
Ca 0.100 0.057 0.000
Sr 3.215 1.837 0.000
Zr 6.454 3.688 0.000
```

---

#c
DFT (PBE) results for a geometry-optimized SrCaZr structure.

**Crystal system**: tetragonal
**D(E_F)**: 5.9 states/eV per cell

Structure (extended XYZ):
```
3
Lattice="8.505 -0.004 0.003 7.743 3.470 0.572 0.762 -0.409 3.497" Properties=species:S:1:pos:R:3 pbc="T T T"
Ca 1.063 -0.334 3.440
Zr 11.023 2.158 1.561
Sr 5.686 0.823 2.568
```

---

#d
DFT (PBE) results for a geometry-optimized SrCaZr structure.

**Crystal system**: cubic
**D(E_F)**: 7.7 states/eV per cell

Structure (extended XYZ):
```
3
Lattice="-5.253 -0.383 -2.358 -1.633 -4.868 -2.633 -4.006 -3.381 2.413" Properties=species:S:1:pos:R:3 pbc="T T T"
Ca 0.000 0.000 0.000
Sr -5.446 -4.316 -1.289
Zr -8.169 -6.474 -1.933
```

---

Most stable to least stable: #a, #c, #b, #d

---

#a
DFT (PBE) results for a geometry-optimized SrCaZr structure.

**Crystal system**: orthorhombic
**D(E_F)**: 15.4 states/eV per cell

Structure (extended XYZ):
```
12
Lattice="-4.608 -1.264 1.615 2.262 -1.236 5.485 -2.317 13.580 4.016" Properties=species:S:1:pos:R:3 pbc="T T T"
Sr -3.991 5.190 4.489
Sr -0.645 -0.282 1.876
Sr -0.673 5.890 6.627
Sr -4.019 11.363 9.240
Zr -3.374 1.572 3.419
Zr -1.263 3.336 2.946
Zr -1.291 9.508 7.697
Zr -3.401 7.744 8.170
Ca -2.146 8.513 4.477
Ca 0.143 1.105 5.212
Ca -4.807 9.975 5.904
Ca -2.518 2.567 6.639
```

---

#b
DFT (PBE) results for a geometry-optimized SrCaZr structure.

**Crystal system**: tetragonal
**D(E_F)**: 9.7 states/eV per cell

Structure (extended XYZ):
```
6
Lattice="3.883 -0.007 0.018 -3.851 15.518 -0.048 -0.020 -0.964 3.762" Properties=species:S:1:pos:R:3 pbc="T T T"
Zr 0.516 7.593 3.433
Zr -1.415 9.163 1.821
Ca -1.418 5.919 0.988
Ca 0.510 2.667 2.167
Sr 0.537 12.004 0.555
Sr 2.436 -0.751 3.303
```

---

Most stable to least stable: #b, #a

---

#a
DFT (PBE) results for a geometry-optimized SrCaZr3 structure.

**Crystal system**: cubic
**D(E_F)**: 11.3 states/eV per cell

Structure (extended XYZ):
```
5
Lattice="5.365 0.000 0.000 0.000 5.365 0.000 0.000 0.000 5.365" Properties=species:S:1:pos:R:3 pbc="T T T"
Zr 0.000 0.000 2.683
Zr 2.683 0.000 0.000
Zr 0.000 2.683 0.000
Sr 0.000 0.000 0.000
Ca 2.683 2.683 2.683
```

---

#b
DFT (PBE) results for a geometry-optimized SrCaZr3 structure.

**Crystal system**: cubic
**D(E_F)**: 12.7 states/eV per cell

Structure (extended XYZ):
```
5
Lattice="5.391 0.000 0.000 0.000 5.391 0.000 0.000 0.000 5.391" Properties=species:S:1:pos:R:3 pbc="T T T"
Zr 0.000 2.695 0.000
Zr 0.000 0.000 2.695
Zr 2.695 0.000 0.000
Sr 2.695 2.695 2.695
Ca 0.000 0.000 0.000
```

---

Most stable to least stable: #b, #a

---

#a
DFT (PBE) results for a geometry-optimized Ca3Ta5 structure.

**Crystal system**: triclinic
**D(E_F)**: 16.2 states/eV per cell

Structure (extended XYZ):
```
16
Lattice="9.820 -0.482 -0.005 -7.934 5.806 0.005 -0.959 -2.695 8.323" Properties=species:S:1:pos:R:3 pbc="T T T"
Ta 4.921 -0.192 4.162
Ta -2.271 0.757 5.429
Ta 3.191 1.873 2.896
Ta 3.165 -1.148 6.095
Ta -4.764 4.670 2.226
Ta -2.245 3.778 2.227
Ta 5.683 -2.040 6.096
Ta 3.174 1.825 5.425
Ta -4.002 2.822 4.161
Ta -2.255 0.805 2.900
Ca -0.637 1.718 0.004
Ca 0.085 2.946 4.164
Ca 5.377 1.096 0.938
Ca 1.553 0.903 8.320
Ca 0.834 -0.315 4.158
Ca -4.458 1.534 7.386
```

---

#b
DFT (PBE) results for a geometry-optimized Ca3Ta5 structure.

**Crystal system**: orthorhombic
**D(E_F)**: 8.9 states/eV per cell

Structure (extended XYZ):
```
8
Lattice="4.718 -5.152 0.000 4.718 5.152 0.000 0.000 0.000 3.602" Properties=species:S:1:pos:R:3 pbc="T T T"
Ta 4.718 -2.898 1.801
Ta 2.359 2.576 0.000
Ta 0.000 0.000 0.000
Ta 4.718 2.898 1.801
Ta 2.359 -2.576 0.000
Ca 7.082 0.000 1.801
Ca 4.718 0.000 0.000
Ca 2.354 0.000 1.801
```

---

Most stable to least stable: #b, #a

---

#a
DFT (PBE) results for a geometry-optimized CaTa4 structure.

**Crystal system**: cubic
**D(E_F)**: 7.3 states/eV per cell

Structure (extended XYZ):
```
5
Lattice="-0.409 -4.671 0.114 4.638 -0.420 -0.556 0.564 0.064 4.656" Properties=species:S:1:pos:R:3 pbc="T T T"
Ta 2.601 -0.178 2.050
Ta 0.000 0.000 0.000
Ta 0.077 -2.303 2.385
Ta 2.114 -2.545 -0.221
Ca 2.397 -2.513 2.107
```

---

#b
DFT (PBE) results for a geometry-optimized CaTa4 structure.

**Crystal system**: cubic
**D(E_F)**: 9.3 states/eV per cell

Structure (extended XYZ):
```
5
Lattice="-3.061 3.061 3.061 3.061 -3.061 3.061 3.061 3.061 -3.061" Properties=species:S:1:pos:R:3 pbc="T T T"
Ta 1.530 -1.530 1.530
Ta 1.530 1.530 -1.530
Ta -1.530 1.530 1.530
Ta 1.530 1.530 1.530
Ca 0.000 0.000 0.000
```

---

Most stable to least stable: #b, #a

---

#a
DFT (PBE) results for a geometry-optimized Ca3TaTe structure.

**Crystal system**: cubic
**D(E_F)**: 4.6 states/eV per cell

Structure (extended XYZ):
```
5
Lattice="-1.624 -0.878 -5.488 3.032 -4.931 -0.108 -4.657 -2.904 1.843" Properties=species:S:1:pos:R:3 pbc="T T T"
Ta -1.624 -4.357 -1.876
Ca -0.812 -0.439 -2.744
Ca -2.329 -1.452 0.921
Ca 1.516 -2.466 -0.054
Te 0.000 0.000 0.000
```

---

#b
DFT (PBE) results for a geometry-optimized Ca3TaTe structure.

**Crystal system**: cubic
**D(E_F)**: 6.6 states/eV per cell

Structure (extended XYZ):
```
5
Lattice="5.538 0.000 0.000 0.000 5.538 0.000 0.000 0.000 5.538" Properties=species:S:1:pos:R:3 pbc="T T T"
Ca 2.769 0.000 0.000
Ca 0.000 0.000 2.769
Ca 0.000 2.769 0.000
Te 2.769 2.769 2.769
Ta 0.000 0.000 0.000
```

---

Most stable to least stable: #a, #b

---

#a
DFT (PBE) results for a geometry-optimized CaTaTl structure.

**Crystal system**: trigonal
**D(E_F)**: 2.7 states/eV per cell

Structure (extended XYZ):
```
3
Lattice="-0.091 3.252 -0.019 -0.367 -1.654 -2.777 -7.799 -0.211 1.157" Properties=species:S:1:pos:R:3 pbc="T T T"
Tl -5.286 1.478 -0.181
Ta -2.920 -0.090 -1.465
Ca -0.051 -0.001 0.008
```

---

#b
DFT (PBE) results for a geometry-optimized CaTaTl structure.

**Crystal system**: orthorhombic
**D(E_F)**: 2.3 states/eV per cell

Structure (extended XYZ):
```
3
Lattice="6.285 0.006 -0.004 4.167 4.705 0.004 -4.959 -2.947 2.494" Properties=species:S:1:pos:R:3 pbc="T T T"
Ca 10.446 4.709 0.000
Ta 7.163 3.229 0.000
Tl 3.293 1.484 0.000
```

---

#c
DFT (PBE) results for a geometry-optimized CaTaTl structure.

**Crystal system**: tetragonal
**D(E_F)**: 2.3 states/eV per cell

Structure (extended XYZ):
```
3
Lattice="-6.520 -3.431 -2.482 -5.247 -5.679 -0.809 -1.936 0.626 2.310" Properties=species:S:1:pos:R:3 pbc="T T T"
Tl -8.559 -5.934 -1.464
Ta -5.162 -2.569 0.472
Ca -11.749 -9.092 -3.281
```

---

Most stable to least stable: #c, #a, #b

---

#a
DFT (PBE) results for a geometry-optimized Ca3TaV structure.

**Crystal system**: cubic
**D(E_F)**: 9.6 states/eV per cell

Structure (extended XYZ):
```
5
Lattice="-1.671 4.087 -3.533 -4.966 0.294 2.688 2.127 3.897 3.502" Properties=species:S:1:pos:R:3 pbc="T T T"
Ca -0.835 2.043 -1.767
Ca 1.063 1.949 1.751
Ca -2.483 0.147 1.344
Ta 0.000 0.000 0.000
V -2.255 4.139 1.329
```

---

#b
DFT (PBE) results for a geometry-optimized Ca3TaV structure.

**Crystal system**: cubic
**D(E_F)**: 3.0 states/eV per cell

Structure (extended XYZ):
```
5
Lattice="-4.349 -1.143 3.217 -2.385 -2.713 -4.187 2.444 -4.681 1.641" Properties=species:S:1:pos:R:3 pbc="T T T"
Ca 1.222 -2.340 0.820
Ca -1.192 -1.356 -2.093
Ca -2.175 -0.571 1.609
Ta -2.145 -4.268 0.336
V 0.000 0.000 0.000
```

---

Most stable to least stable: #b, #a